# Sm2NiPt6

An optimized crystal structure of Sm2NiPt6 (PBE, the Alexandria database).

Computed properties:
- Volume: 167 Å³ per cell
- E_form: -0.80 eV/atom
- Symmetry: C2/m, No. 12
- Total energy: -0.2396 Ha/atom

abc: 5.5569 5.5569 6.4262
angles: 102.17 102.17 60.06
Fractional coordinates of all 9 atoms:
1 Sm 0.1467 0.1467 0.3683
2 Sm 0.8533 0.8533 0.6317
3 Ni 0.5000 0.5000 0.5000
4 Pt 0.1108 0.6183 0.1848
5 Pt 0.3817 0.8892 0.8152
6 Pt 0.3839 0.3839 0.8115
7 Pt 0.6161 0.6161 0.1885
8 Pt 0.6183 0.1108 0.1848
9 Pt 0.8892 0.3817 0.8152

# Sm2Ni3Sn4Pt

An optimized crystal structure of Sm2Ni3Sn4Pt (PBE, the Alexandria database).

Computed properties:
- Volume: 205 Å³ per cell
- E_form: -0.59 eV/atom
- Symmetry: P-4m2, No. 115
- Total energy: -0.2013 Ha/atom

abc: 4.4708 4.4708 10.2757
angles: 90.00 90.00 90.00
Fractional coordinates of all 10 atoms:
1 Sm 0.0000 0.5000 0.2419
2 Sm 0.5000 0.0000 0.7581
3 Ni 0.0000 0.0000 0.0000
4 Ni 0.0000 0.5000 0.6229
5 Ni 0.5000 0.0000 0.3771
6 Sn 0.0000 0.0000 0.5000
7 Sn 0.0000 0.5000 0.8636
8 Sn 0.5000 0.0000 0.1364
9 Sn 0.5000 0.5000 0.5000
10 Pt 0.5000 0.5000 0.0000